Computed, not measured: a relaxed structure of KWCBr2 at the GGA-PBE level of DFT.

Lattice parameters (Å, degrees): 5.8097 5.8097 4.8008 90.00 90.00 90.00
Last column: nearest neighbours and their distance in Å.
Space group P4/mmm (No. 123)
One atom of each set of equivalent atoms:
K 0.0000 0.0000 0.0000 x1  2 C 2.40
W 0.5000 0.5000 0.5000 x1  8 Br 3.77, 4 C 4.11
C 0.0000 0.0000 0.5000 x1  2 K 2.40
Br 0.0000 0.5000 0.0000 x2  2 K 2.90

## Properties
Total magnetization (μB per formula unit): 2.17
ΔE_f (raw) (kJ/mol of atoms): 223
Electronic total energy (eV per atom): -3.01